Y2WSe: optimized geometry, GGA-PBE.

Properties
**Magnetic moment**: 0.000 μB per atom
**Uncorrected energy**: -7.506 eV/atom
**Formation energy without anion corrections**: -165 meV per atom
**Space group**: Imm2

a = 6.3929 Å, b = 6.3929 Å, c = 6.3929 Å
α = 148.69°, β = 135.95°, γ = 55.03°
Element x y z (fractional)
Y: 0.0000 0.0000 0.0000
Y: 0.7288 0.2288 0.5000
W: 0.4936 0.4936 0.0000
Se: 0.3196 0.8196 0.5000